3
Lattice="-3.267 -1.578 2.338 -3.772 -0.901 -1.895 -1.233 -4.105 -0.510" Properties=species:S:1:pos:R:3 comment="TmGeB (GGA-PBE, optimized geometry)" de_polymorph_ev_per_atom=0.590 pbc="T T T"
B -2.068 -1.646 -0.017
Ge 0.000 0.000 0.000
Tm -6.203 -4.938 -0.050

# Tm3GeB

Crystalline Tm3GeB at its relaxed geometry (GGA-PBE, OQMD).

The structure in extended XYZ format:
```
10
Lattice="1.991 -5.848 0.000 1.991 5.848 0.000 0.000 0.000 9.552" Properties=species:S:1:pos:R:3 pbc="T T T"
B 0.000 0.000 0.000
B 0.000 0.000 4.776
Ge 1.991 -3.105 2.388
Ge 1.991 3.105 7.164
Tm 1.991 1.575 0.527
Tm 1.991 4.936 2.388
Tm 1.991 1.575 4.249
Tm 1.991 -1.575 5.303
Tm 1.991 -4.936 7.164
Tm 1.991 -1.575 9.025
```

3
Lattice="0.000 3.124 3.124 3.124 0.000 3.124 3.124 3.124 0.000" Properties=species:S:1:pos:R:3 comment="TmGeB (GGA-PBE, optimized geometry)" de_polymorph_ev_per_atom=0.540 pbc="T T T"
B 1.562 1.562 1.562
Ge 4.687 4.687 4.687
Tm 0.000 0.000 0.000

# GeB3W4

Crystalline GeB3W4 at its relaxed geometry (GGA-PBE, OQMD).

The structure in extended XYZ format:
```
16
Lattice="-2.184 -2.248 -0.503 2.373 -0.522 2.043 -12.734 8.573 16.982" Properties=species:S:1:pos:R:3 pbc="T T T"
B 0.000 0.000 0.000
B -2.109 -0.700 2.271
B -5.588 1.642 6.911
B -6.367 4.287 8.491
B -6.957 4.162 11.611
B -10.436 6.504 16.251
Ge -2.329 1.046 5.440
Ge -10.215 4.758 13.082
W 0.113 -0.598 2.182
W -2.094 1.410 2.792
W -4.273 2.877 5.698
W -4.772 2.691 8.697
W -7.773 3.113 9.824
W -8.461 5.697 11.283
W -10.640 7.164 14.189
W -12.658 6.402 16.340
```

no.,DFT total energy (eV/atom),spin magnetization (μB/f.u.)
1,-4.58,0.01
2,-5.37,0.01
3,-4.63,0.00
4,-9.67,0.00